No. 1
The following is a DFT calculation (GGA-PBE) of AgB3Ir after structural relaxation.

abc: 4.137 4.137 4.137
angles: 90.00 90.00 90.00
Atoms (fractional coordinates):
B (0.000, 0.000, 0.500)
B (0.000, 0.500, 0.000)
B (0.500, 0.000, 0.000)
Ir (0.000, 0.000, 0.000)
Ag (0.500, 0.500, 0.500)

Output
Calculated formation energy: 964 meV/atom
DOS at the Fermi energy: 0.781 states/eV per atom
Space-group type: Pm-3m (221)
Energy relative to the lowest polymorph listed for this composition: 0 meV per atom

No. 2
The following is a DFT calculation (GGA-PBE) of K2VCuCl6 after structural relaxation.

abc: 6.862 6.964 7.426
angles: 123.05 121.77 79.65
Last column: magnetic moment on the atom in μB.
Atoms (fractional coordinates):
Cl (0.705, 0.241, 0.919)  -0.02
Cl (0.792, 0.726, 0.529)  -0.01
Cl (0.237, 0.702, 0.022)  -0.02
Cl (0.722, 0.792, 0.985)  -0.01
Cl (0.242, 0.178, 0.988)  -0.01
Cl (0.178, 0.238, 0.432)  -0.01
K (0.759, 0.264, 0.524)  0.00
K (0.262, 0.759, 0.497)  0.00
Cu (0.605, 0.607, 0.105)  -0.07
V (0.996, 0.996, 0.996)  1.93

Output
Formation energy from raw total energies: -1.35 eV per atom
DOS at the Fermi energy: 0.945 states/eV per atom
Space-group type: P1 (1)

No. 3
The following is a DFT calculation (GGA-PBE) of TaFe2Co after structural relaxation.

abc: 4.176 4.176 4.176
angles: 60.00 60.00 60.00
Last column: magnetic moment on the atom in μB.
Atoms (fractional coordinates):
Co (0.000, 0.000, 0.000)  1.69
Fe (0.250, 0.250, 0.250)  1.95
Fe (0.750, 0.750, 0.750)  1.95
Ta (0.500, 0.500, 0.500)  -0.43

Output
Calculated formation energy: -20 meV/atom
DOS at the Fermi energy: 1.569 states/eV per atom
Space-group type: Fm-3m (225)